PmTaW: relaxed, PBE.

Results
Space-group type ... F-43m (216)
Energy of formation ... 0.86 eV/atom

CIF file:
```
data_PmTaW
_chemical_formula_sum 'Pm1 Ta1 W1'
_cell_length_a 4.655
_cell_length_b 4.655
_cell_length_c 4.655
_cell_angle_alpha 60.00
_cell_angle_beta 60.00
_cell_angle_gamma 60.00
_symmetry_space_group_name_H-M 'P 1'
_symmetry_Int_Tables_number 1
_symmetry_space_group_name_Hall 'P 1'
loop_
_atom_site_label
_atom_site_fract_x
_atom_site_fract_y
_atom_site_fract_z
Pm1 0.000 0.000 0.000
Ta1 0.500 0.500 0.500
W1 0.250 0.250 0.250
```

***

PmTaZn: relaxed, PBE.

Results
Excess energy over the best structure of this formula in the dataset ... 0.00 eV per formula unit
Space-group type ... F-43m (216)
Energy of formation ... 0.64 eV/atom

CIF file:
```
data_PmTaZn
_chemical_formula_sum 'Pm1 Ta1 Zn1'
_cell_length_a 4.644
_cell_length_b 4.644
_cell_length_c 4.644
_cell_angle_alpha 60.00
_cell_angle_beta 60.00
_cell_angle_gamma 60.00
_symmetry_space_group_name_H-M 'P 1'
_symmetry_Int_Tables_number 1
_symmetry_space_group_name_Hall 'P 1'
loop_
_atom_site_label
_atom_site_fract_x
_atom_site_fract_y
_atom_site_fract_z
Pm1 0.000 0.000 0.000
Ta1 0.500 0.500 0.500
Zn1 0.250 0.250 0.250
```

***

PmTaZn: relaxed, PBE.

Results
Excess energy over the best structure of this formula in the dataset ... 2.12 eV per formula unit
Space-group type ... F-43m (216)
Energy of formation ... 1.35 eV/atom

CIF file:
```
data_PmTaZn
_chemical_formula_sum 'Pm1 Ta1 Zn1'
_cell_length_a 4.823
_cell_length_b 4.823
_cell_length_c 4.823
_cell_angle_alpha 60.00
_cell_angle_beta 60.00
_cell_angle_gamma 60.00
_symmetry_space_group_name_H-M 'P 1'
_symmetry_Int_Tables_number 1
_symmetry_space_group_name_Hall 'P 1'
loop_
_atom_site_label
_atom_site_fract_x
_atom_site_fract_y
_atom_site_fract_z
Pm1 0.000 0.000 0.000
Ta1 0.750 0.750 0.750
Zn1 0.250 0.250 0.250
```

***

Tb2Pm: relaxed, PBE.

Results
Excess energy over the best structure of this formula in the dataset ... 0.00 eV per formula unit
Space-group type ... Fd-3m (227)
Energy of formation ... 0.28 eV/atom

CIF file:
```
data_Tb2Pm
_chemical_formula_sum 'Tb4 Pm2'
_cell_length_a 6.603
_cell_length_b 6.603
_cell_length_c 6.603
_cell_angle_alpha 60.00
_cell_angle_beta 60.00
_cell_angle_gamma 60.00
_symmetry_space_group_name_H-M 'P 1'
_symmetry_Int_Tables_number 1
_symmetry_space_group_name_Hall 'P 1'
loop_
_atom_site_label
_atom_site_fract_x
_atom_site_fract_y
_atom_site_fract_z
Tb1 0.000 0.000 0.000
Tb2 0.000 0.000 0.500
Tb3 0.000 0.500 0.000
Tb4 0.500 0.000 0.000
Pm1 0.375 0.375 0.375
Pm2 0.625 0.625 0.625
```

***

Tb2Pm: relaxed, PBE.

Results
Excess energy over the best structure of this formula in the dataset ... 6.49 eV per formula unit
Space-group type ... Fd-3m (227)
Energy of formation ... 2.44 eV/atom

CIF file:
```
data_Tb2Pm
_chemical_formula_sum 'Tb4 Pm2'
_cell_length_a 8.909
_cell_length_b 8.909
_cell_length_c 8.909
_cell_angle_alpha 60.00
_cell_angle_beta 60.00
_cell_angle_gamma 60.00
_symmetry_space_group_name_H-M 'P 1'
_symmetry_Int_Tables_number 1
_symmetry_space_group_name_Hall 'P 1'
loop_
_atom_site_label
_atom_site_fract_x
_atom_site_fract_y
_atom_site_fract_z
Tb1 0.000 0.000 0.000
Tb2 0.000 0.000 0.500
Tb3 0.000 0.500 0.000
Tb4 0.500 0.000 0.000
Pm1 0.125 0.125 0.125
Pm2 0.875 0.875 0.875
```

***

TbPm2: relaxed, PBE.

Results
Excess energy over the best structure of this formula in the dataset ... 5.97 eV per formula unit
Space-group type ... Fd-3m (227)
Energy of formation ... 2.25 eV/atom

CIF file:
```
data_TbPm2
_chemical_formula_sum 'Tb2 Pm4'
_cell_length_a 9.063
_cell_length_b 9.063
_cell_length_c 9.063
_cell_angle_alpha 60.00
_cell_angle_beta 60.00
_cell_angle_gamma 60.00
_symmetry_space_group_name_H-M 'P 1'
_symmetry_Int_Tables_number 1
_symmetry_space_group_name_Hall 'P 1'
loop_
_atom_site_label
_atom_site_fract_x
_atom_site_fract_y
_atom_site_fract_z
Tb1 0.125 0.125 0.125
Tb2 0.875 0.875 0.875
Pm1 0.000 0.000 0.000
Pm2 0.000 0.000 0.500
Pm3 0.000 0.500 0.000
Pm4 0.500 0.000 0.000
```

***

Repeat the fifth record exactly.
Tb2Pm: relaxed, PBE.

Results
Excess energy over the best structure of this formula in the dataset ... 6.49 eV per formula unit
Space-group type ... Fd-3m (227)
Energy of formation ... 2.44 eV/atom

CIF file:
```
data_Tb2Pm
_chemical_formula_sum 'Tb4 Pm2'
_cell_length_a 8.909
_cell_length_b 8.909
_cell_length_c 8.909
_cell_angle_alpha 60.00
_cell_angle_beta 60.00
_cell_angle_gamma 60.00
_symmetry_space_group_name_H-M 'P 1'
_symmetry_Int_Tables_number 1
_symmetry_space_group_name_Hall 'P 1'
loop_
_atom_site_label
_atom_site_fract_x
_atom_site_fract_y
_atom_site_fract_z
Tb1 0.000 0.000 0.000
Tb2 0.000 0.000 0.500
Tb3 0.000 0.500 0.000
Tb4 0.500 0.000 0.000
Pm1 0.125 0.125 0.125
Pm2 0.875 0.875 0.875
```